No. 1
A geometry-optimized Na6SnPb12 structure. Source: Alexandria via LeMat-Bulk, functional GGA-PBE.

abc: 8.919 8.919 8.919
angles: 106.56 106.56 106.56
Element x y z (fractional)
Na (0.081, 0.196, 0.461)
Na (0.804, 0.539, 0.919)
Na (0.539, 0.919, 0.804)
Na (0.919, 0.804, 0.539)
Na (0.196, 0.461, 0.081)
Na (0.461, 0.081, 0.196)
Sn (0.000, 0.000, 0.000)
Pb (0.474, 0.187, 0.592)
Pb (0.187, 0.592, 0.474)
Pb (0.592, 0.474, 0.187)
Pb (0.526, 0.813, 0.408)
Pb (0.813, 0.408, 0.526)
Pb (0.408, 0.526, 0.813)
Pb (0.278, 0.143, 0.847)
Pb (0.153, 0.722, 0.857)
Pb (0.857, 0.153, 0.722)
Pb (0.722, 0.857, 0.153)
Pb (0.847, 0.278, 0.143)
Pb (0.143, 0.847, 0.278)

Values from the calculation:
mass density	7.62	g cm⁻³
electronic total energy	-3.021	eV/atom



No. 2
A geometry-optimized Tl2Ag2BiS4 structure. Source: Alexandria via LeMat-Bulk, functional GGA-PBE.

abc: 4.075 7.991 7.683
angles: 111.08 90.00 104.77
Element x y z (fractional)
Tl (0.871, 0.741, 0.449)
Tl (0.129, 0.259, 0.551)
Ag (0.315, 0.630, 0.004)
Ag (0.685, 0.370, 0.996)
Bi (0.000, 0.000, 0.000)
S (0.801, 0.602, 0.797)
S (0.199, 0.398, 0.203)
S (0.485, 0.970, 0.246)
S (0.515, 0.030, 0.754)

Values from the calculation:
mass density	7.11	g cm⁻³
E_form (uncorrected)	-0.191	eV per atom



No. 3
A geometry-optimized Tb3PuSe6 structure. Source: Alexandria via LeMat-Bulk, functional GGA-PBE.

abc: 4.136 11.640 11.862
angles: 108.98 90.00 90.00
Element x y z (fractional)
Tb (0.750, 0.432, 0.833)
Tb (0.250, 0.568, 0.167)
Tb (0.750, 0.680, 0.502)
Tb (0.250, 0.320, 0.498)
Tb (0.750, 0.158, 0.082)
Tb (0.250, 0.842, 0.918)
Pu (0.750, 0.045, 0.689)
Pu (0.250, 0.955, 0.311)
Se (0.750, 0.481, 0.615)
Se (0.250, 0.519, 0.385)
Se (0.750, 0.917, 0.100)
Se (0.250, 0.083, 0.900)
Se (0.750, 0.397, 0.064)
Se (0.250, 0.603, 0.936)
Se (0.750, 0.746, 0.277)
Se (0.250, 0.254, 0.723)
Se (0.750, 0.115, 0.462)
Se (0.250, 0.885, 0.538)
Se (0.750, 0.807, 0.750)
Se (0.250, 0.193, 0.250)

Values from the calculation:
mass density	7.35	g cm⁻³
E_form (uncorrected)	-1.760	eV per atom